No. 1
Ce3Cd4In4 | PBE-GGA | relaxed

abc: 15.9304 15.9304 5.0578
angles: 99.08 99.08 12.98
Fractional positions:
Ce  0.0000  0.0000  0.0000
Ce  0.1403  0.1403  0.6397
Ce  0.8597  0.8597  0.3603
Cd  0.2647  0.2647  0.2655
Cd  0.4079  0.4079  0.9083
Cd  0.5921  0.5921  0.0917
Cd  0.7353  0.7353  0.7345
In  0.3153  0.3153  0.8163
In  0.4530  0.4530  0.4531
In  0.5470  0.5470  0.5469
In  0.6847  0.6847  0.1837

Values from the calculation:
- E_form: -0.260 eV/atom
- Volume: 25.875 Å³/atom
- Theoretical density: 7.8 Mg/m³
- Spin magnetization: 3.7 μB/f.u.
- Relative energy among the computed polymorphs: 0.009 eV per atom
- Space-group type: C2/m, No. 12


No. 2
La3OsAu | PBE-GGA | relaxed

abc: 5.5379 5.5379 5.5379
angles: 90.00 90.00 90.00
Fractional positions:
La  0.0000  0.0000  0.5000
La  0.0000  0.5000  0.0000
La  0.5000  0.0000  0.0000
Os  0.0000  0.0000  0.0000
Au  0.5000  0.5000  0.5000

Values from the calculation:
- E_form: -0.146 eV/atom
- Volume: 33.968 Å³/atom
- Theoretical density: 7.9 Mg/m³
- Spin magnetization: 0.0 μB/f.u.
- Relative energy among the computed polymorphs: 0.254 eV per atom
- Space-group type: Pm-3m, No. 221


No. 3
InSb2TeF | PBE-GGA | relaxed

abc: 5.0593 5.0593 5.9374
angles: 90.00 90.00 90.00
Fractional positions:
In  0.0000  0.0000  0.0000
Sb  0.0000  0.5000  0.5000
Sb  0.5000  0.0000  0.5000
Te  0.5000  0.5000  0.0000
F  0.5000  0.5000  0.5000

Values from the calculation:
- Volume: 30.395 Å³/atom
- Formation energy (no corrections): -0.08 eV per atom
- Theoretical density: 5.5 Mg/m³
- Spin magnetization: 0.0 μB/f.u.
- Relative energy among the computed polymorphs: 0.000 eV per atom
- Space-group type: P4/mmm, No. 123


No. 4
Pr4BBr2N | PBE-GGA | relaxed

abc: 6.6338 3.9087 7.8780
angles: 90.00 107.00 90.00
Fractional positions:
Pr  0.2212  0.0000  0.1837
Pr  0.2591  0.5000  0.8127
Pr  0.7409  0.5000  0.1873
Pr  0.7788  0.0000  0.8163
B  0.5000  0.0000  0.0000
Br  0.0000  0.0000  0.5000
Br  0.5000  0.5000  0.5000
N  0.0000  0.5000  0.0000

Values from the calculation:
- Volume: 24.419 Å³/atom
- Formation energy (no corrections): -1.07 eV per atom
- Theoretical density: 6.4 Mg/m³
- Spin magnetization: 0.0 μB/f.u.
- Space-group type: P2/m, No. 10


No. 5
NdErN2 | PBE-GGA | relaxed

abc: 3.4767 3.4767 6.1285
angles: 90.00 90.00 120.00
Fractional positions:
Nd  0.0000  0.0000  0.0000
Er  0.0000  0.0000  0.5000
N  0.3333  0.6667  0.7368
N  0.6667  0.3333  0.2632

Values from the calculation:
- Volume: 16.039 Å³/atom
- Formation energy (no corrections): -1.19 eV per atom
- Theoretical density: 8.8 Mg/m³
- Spin magnetization: 0.0 μB/f.u.
- Space-group type: P-3m1, No. 164


No. 6
KBa2Hg | PBE-GGA | relaxed

abc: 4.7960 4.7960 35.7941
angles: 90.00 90.00 120.00
Fractional positions:
K  0.0000  0.0000  0.0000
K  0.3333  0.6667  0.6667
K  0.6667  0.3333  0.3333
Ba  0.0000  0.0000  0.5569
Ba  0.0000  0.0000  0.7755
Ba  0.3333  0.6667  0.2235
Ba  0.3333  0.6667  0.4422
Ba  0.6667  0.3333  0.1089
Ba  0.6667  0.3333  0.8902
Hg  0.0000  0.0000  0.1661
Hg  0.3333  0.6667  0.8328
Hg  0.6667  0.3333  0.4994

Values from the calculation:
- E_form: -0.177 eV/atom
- Volume: 59.417 Å³/atom
- Theoretical density: 3.6 Mg/m³
- Spin magnetization: 0.4 μB/f.u.
- Space-group type: R3m, No. 160


No. 7
Hf2CoHg | PBE-GGA | relaxed

abc: 3.5884 3.5884 22.0811
angles: 90.00 90.00 120.00
Fractional positions:
Hf  0.0000  0.0000  0.0000
Hf  0.0000  0.0000  0.2074
Hf  0.3333  0.6667  0.6667
Hf  0.3333  0.6667  0.8741
Hf  0.6667  0.3333  0.3333
Hf  0.6667  0.3333  0.5408
Co  0.0000  0.0000  0.6058
Co  0.3333  0.6667  0.2725
Co  0.6667  0.3333  0.9392
Hg  0.0000  0.0000  0.7705
Hg  0.3333  0.6667  0.4372
Hg  0.6667  0.3333  0.1038

Values from the calculation:
- E_form: -0.084 eV/atom
- Volume: 20.519 Å³/atom
- Theoretical density: 12.5 Mg/m³
- Spin magnetization: 0.0 μB/f.u.
- Space-group type: R3m, No. 160


No. 8
TbSnBi2 | PBE-GGA | relaxed

abc: 4.7570 4.7570 26.5981
angles: 90.00 90.00 120.00
Fractional positions:
Tb  0.0000  0.0000  0.0000
Tb  0.3333  0.6667  0.6667
Tb  0.6667  0.3333  0.3333
Sn  0.0000  0.0000  0.5000
Sn  0.3333  0.6667  0.1667
Sn  0.6667  0.3333  0.8333
Bi  0.0000  0.0000  0.3914
Bi  0.0000  0.0000  0.6086
Bi  0.3333  0.6667  0.0580
Bi  0.3333  0.6667  0.2753
Bi  0.6667  0.3333  0.7247
Bi  0.6667  0.3333  0.9420

Values from the calculation:
- E_form: 0.154 eV/atom
- Volume: 43.437 Å³/atom
- Theoretical density: 6.6 Mg/m³
- Spin magnetization: 0.0 μB/f.u.
- Relative energy among the computed polymorphs: 0.518 eV per atom
- Space-group type: R-3m, No. 166